No. 1
# CoReRu3 meta-GGA SCAN single point on PBEsol structure
# Crystal system: cubic
# DOS(E_F) (states/eV per atom): 0.93
# Final energy (eV for the cell shown): -183.59
# Space-group type: Pm-3m, No. 221
# Magnetic moment (μB/cell): 4.2
data_CoReRu3
_space_group_name_H-M_alt 'P 1'
_space_group_IT_number 1
_space_group_name_Hall 'P 1'
_cell_length_a 4.573
_cell_length_b 4.573
_cell_length_c 4.573
_cell_angle_alpha 90.00
_cell_angle_beta 90.00
_cell_angle_gamma 90.00
loop_
_atom_site_label
_atom_site_fract_x
_atom_site_fract_y
_atom_site_fract_z
_atom_site_occupancy
Co1 0.500 0.500 0.500 1
Ru1 0.000 0.000 0.500 1
Ru2 0.000 0.500 0.000 1
Ru3 0.500 0.000 0.000 1
Re1 0.000 0.000 0.000 1

No. 2
# CaAs2Cl meta-GGA SCAN single point on PBEsol structure
# Crystal system: monoclinic
# DOS(E_F) (states/eV per atom): 0.61
# Final energy (eV for the cell shown): -61.00
# Space-group type: P2/m, No. 10
# Formation energy without anion corrections (eV/atom): -0.744
# Magnetic moment (μB/cell): 0.0
data_CaAs2Cl
_space_group_name_H-M_alt 'P 1'
_space_group_IT_number 1
_space_group_name_Hall 'P 1'
_cell_length_a 4.210
_cell_length_b 4.211
_cell_length_c 5.482
_cell_angle_alpha 90.00
_cell_angle_beta 90.52
_cell_angle_gamma 90.00
loop_
_atom_site_label
_atom_site_fract_x
_atom_site_fract_y
_atom_site_fract_z
_atom_site_occupancy
Ca1 0.500 0.500 0.000 1
As1 0.002 0.000 0.208 1
As2 0.998 0.000 0.792 1
Cl1 0.500 0.500 0.500 1

No. 3
# AlTl2Pb meta-GGA SCAN single point on PBEsol structure
# Crystal system: orthorhombic
# DOS(E_F) (states/eV per atom): 0.51
# Final energy (eV for the cell shown): -227.38
# Space-group type: Pmmm, No. 47
# Magnetic moment (μB/cell): 0.0
data_AlTl2Pb
_space_group_name_H-M_alt 'P 1'
_space_group_IT_number 1
_space_group_name_Hall 'P 1'
_cell_length_a 3.584
_cell_length_b 5.263
_cell_length_c 5.564
_cell_angle_alpha 90.00
_cell_angle_beta 90.00
_cell_angle_gamma 90.00
loop_
_atom_site_label
_atom_site_fract_x
_atom_site_fract_y
_atom_site_fract_z
_atom_site_occupancy
Tl1 0.500 0.500 0.000 1
Tl2 0.000 0.000 0.000 1
Al1 0.500 0.000 0.500 1
Pb1 0.000 0.500 0.500 1

No. 4
# ZnNi2HgH meta-GGA SCAN single point on PBEsol structure
# Crystal system: tetragonal
# DOS(E_F) (states/eV per atom): 0.69
# Final energy (eV for the cell shown): -110.06
# Space-group type: P4/mmm, No. 123
# Magnetic moment (μB/cell): 3.2
data_ZnNi2HgH
_space_group_name_H-M_alt 'P 1'
_space_group_IT_number 1
_space_group_name_Hall 'P 1'
_cell_length_a 4.763
_cell_length_b 4.763
_cell_length_c 4.852
_cell_angle_alpha 90.00
_cell_angle_beta 90.00
_cell_angle_gamma 90.00
loop_
_atom_site_label
_atom_site_fract_x
_atom_site_fract_y
_atom_site_fract_z
_atom_site_occupancy
Zn1 0.000 0.000 0.500 1
Ni1 0.500 0.000 0.000 1
Ni2 0.000 0.500 0.000 1
Hg1 0.000 0.000 0.000 1
H1 0.500 0.500 0.500 1

No. 5
# CsGe3C meta-GGA SCAN single point on PBEsol structure
# Crystal system: cubic
# DOS(E_F) (states/eV per atom): 0.57
# Final energy (eV for the cell shown): -98.68
# Space-group type: Pm-3m, No. 221
# Magnetic moment (μB/cell): 0.0
data_CsGe3C
_space_group_name_H-M_alt 'P 1'
_space_group_IT_number 1
_space_group_name_Hall 'P 1'
_cell_length_a 4.709
_cell_length_b 4.709
_cell_length_c 4.709
_cell_angle_alpha 90.00
_cell_angle_beta 90.00
_cell_angle_gamma 90.00
loop_
_atom_site_label
_atom_site_fract_x
_atom_site_fract_y
_atom_site_fract_z
_atom_site_occupancy
Ge1 0.000 0.500 0.000 1
Ge2 0.500 0.000 0.000 1
Ge3 0.000 0.000 0.500 1
C1 0.000 0.000 0.000 1
Cs1 0.500 0.500 0.500 1

No. 6
# LaIn2Se meta-GGA SCAN single point on PBEsol structure
# Crystal system: tetragonal
# DOS(E_F) (states/eV per atom): 0.68
# Final energy (eV for the cell shown): -133.32
# Space-group type: P4/mmm, No. 123
# Formation energy without anion corrections (eV/atom): -0.842
# Magnetic moment (μB/cell): 0.0
data_LaIn2Se
_space_group_name_H-M_alt 'P 1'
_space_group_IT_number 1
_space_group_name_Hall 'P 1'
_cell_length_a 4.310
_cell_length_b 4.310
_cell_length_c 5.378
_cell_angle_alpha 90.00
_cell_angle_beta 90.00
_cell_angle_gamma 90.00
loop_
_atom_site_label
_atom_site_fract_x
_atom_site_fract_y
_atom_site_fract_z
_atom_site_occupancy
Se1 0.000 0.000 0.500 1
La1 0.500 0.500 0.500 1
In1 0.500 0.000 0.000 1
In2 0.000 0.500 0.000 1

No. 7
# Li2CuAu meta-GGA SCAN single point on PBEsol structure
# Crystal system: orthorhombic
# DOS(E_F) (states/eV per atom): 0.26
# Final energy (eV for the cell shown): -90.42
# Space-group type: Pmmm, No. 47
# Magnetic moment (μB/cell): 0.0
data_Li2CuAu
_space_group_name_H-M_alt 'P 1'
_space_group_IT_number 1
_space_group_name_Hall 'P 1'
_cell_length_a 2.737
_cell_length_b 3.761
_cell_length_c 5.263
_cell_angle_alpha 90.00
_cell_angle_beta 90.00
_cell_angle_gamma 90.00
loop_
_atom_site_label
_atom_site_fract_x
_atom_site_fract_y
_atom_site_fract_z
_atom_site_occupancy
Au1 0.500 0.500 0.000 1
Li1 0.000 0.000 0.253 1
Li2 0.000 0.000 0.747 1
Cu1 0.500 0.500 0.500 1

No. 8
# Mg2Zn3 meta-GGA SCAN single point on PBEsol structure
# Crystal system: trigonal
# DOS(E_F) (states/eV per atom): 0.32
# Final energy (eV for the cell shown): -50.37
# Space-group type: R-3m, No. 166
# Magnetic moment (μB/cell): 0.0
data_Mg2Zn3
_space_group_name_H-M_alt 'P 1'
_space_group_IT_number 1
_space_group_name_Hall 'P 1'
_cell_length_a 3.006
_cell_length_b 3.006
_cell_length_c 11.164
_cell_angle_alpha 82.26
_cell_angle_beta 82.26
_cell_angle_gamma 60.00
loop_
_atom_site_label
_atom_site_fract_x
_atom_site_fract_y
_atom_site_fract_z
_atom_site_occupancy
Zn1 0.197 0.197 0.409 1
Zn2 0.000 0.000 0.000 1
Zn3 0.803 0.803 0.591 1
Mg1 0.401 0.401 0.796 1
Mg2 0.599 0.599 0.204 1

No. 9
# Cu2P8Se3Br2 meta-GGA SCAN single point on PBEsol structure
# Crystal system: orthorhombic
# Final energy (eV for the cell shown): -863.20
# Space-group type: Pbcm, No. 57
# Formation energy without anion corrections (eV/atom): -0.204
# Magnetic moment (μB/cell): 0.0
data_Cu2P8Se3Br2
_space_group_name_H-M_alt 'P 1'
_space_group_IT_number 1
_space_group_name_Hall 'P 1'
_cell_length_a 8.690
_cell_length_b 11.971
_cell_length_c 13.741
_cell_angle_alpha 90.00
_cell_angle_beta 90.00
_cell_angle_gamma 90.00
loop_
_atom_site_label
_atom_site_fract_x
_atom_site_fract_y
_atom_site_fract_z
_atom_site_occupancy
P1 0.922 0.305 0.390 1
P2 0.755 0.339 0.612 1
P3 0.470 0.758 0.920 1
P4 0.078 0.695 0.610 1
P5 0.245 0.839 0.612 1
P6 0.530 0.258 0.580 1
P7 0.530 0.258 0.920 1
P8 0.191 0.936 0.477 1
P9 0.191 0.564 0.977 1
P10 0.755 0.339 0.888 1
P11 0.245 0.661 0.388 1
P12 0.191 0.564 0.523 1
P13 0.922 0.305 0.110 1
P14 0.922 0.195 0.890 1
P15 0.922 0.195 0.610 1
P16 0.245 0.839 0.888 1
P17 0.078 0.805 0.390 1
P18 0.470 0.742 0.420 1
P19 0.245 0.661 0.112 1
P20 0.191 0.936 0.023 1
P21 0.755 0.161 0.388 1
P22 0.809 0.436 0.477 1
P23 0.809 0.064 0.977 1
P24 0.078 0.695 0.890 1
P25 0.078 0.805 0.110 1
P26 0.530 0.242 0.420 1
P27 0.809 0.064 0.523 1
P28 0.470 0.742 0.080 1
P29 0.755 0.161 0.112 1
P30 0.530 0.242 0.080 1
P31 0.809 0.436 0.023 1
P32 0.470 0.758 0.580 1
Cu1 0.000 0.374 0.250 1
Cu2 0.799 0.073 0.250 1
Cu3 0.000 0.626 0.750 1
Cu4 0.000 0.126 0.750 1
Cu5 0.201 0.573 0.250 1
Cu6 0.799 0.427 0.750 1
Cu7 0.000 0.874 0.250 1
Cu8 0.201 0.927 0.750 1
Se1 0.586 0.423 0.112 1
Se2 0.102 0.250 0.000 1
Se3 0.898 0.750 0.500 1
Se4 0.586 0.077 0.612 1
Se5 0.586 0.077 0.888 1
Se6 0.414 0.923 0.112 1
Se7 0.586 0.423 0.388 1
Se8 0.414 0.923 0.388 1
Se9 0.414 0.577 0.612 1
Se10 0.898 0.750 0.000 1
Se11 0.102 0.250 0.500 1
Se12 0.414 0.577 0.888 1
Br1 0.086 0.430 0.750 1
Br2 0.720 0.621 0.750 1
Br3 0.280 0.379 0.250 1
Br4 0.914 0.930 0.750 1
Br5 0.280 0.121 0.750 1
Br6 0.086 0.070 0.250 1
Br7 0.720 0.879 0.250 1
Br8 0.914 0.570 0.250 1

No. 10
# ErTe2 meta-GGA SCAN single point on PBEsol structure
# Crystal system: tetragonal
# DOS(E_F) (states/eV per atom): 0.12
# Final energy (eV for the cell shown): -256.96
# Space-group type: P4/nmm, No. 129
# Formation energy without anion corrections (eV/atom): -1.212
# Magnetic moment (μB/cell): 0.0
data_ErTe2
_space_group_name_H-M_alt 'P 1'
_space_group_IT_number 1
_space_group_name_Hall 'P 1'
_cell_length_a 4.361
_cell_length_b 4.361
_cell_length_c 8.660
_cell_angle_alpha 90.00
_cell_angle_beta 90.00
_cell_angle_gamma 90.00
loop_
_atom_site_label
_atom_site_fract_x
_atom_site_fract_y
_atom_site_fract_z
_atom_site_occupancy
Te1 0.000 0.500 0.372 1
Te2 0.000 0.000 0.000 1
Te3 0.500 0.000 0.628 1
Te4 0.500 0.500 0.000 1
Er1 0.000 0.500 0.730 1
Er2 0.500 0.000 0.270 1